(1)
Compound: BeZnFe2N
Source: Alexandria via LeMat-Bulk
Functional: PBE-GGA
Structure: relaxed

Results
symmetry = No. 123
electronic total energy = -22.2 eV for the cell shown

Lattice parameters (Å, degrees): 4.6199 4.6199 3.4866 90.00 90.00 90.00
Closest atoms and distances in Å follow each position.
Fractional positions:
Be 0.0000 0.0000 0.0000  8 Fe 2.89
Zn 0.5000 0.5000 0.5000  2 N 1.74
Fe 0.0000 0.5000 0.5000  2 Zn 2.31
Fe 0.5000 0.0000 0.5000  2 Zn 2.31
N 0.5000 0.5000 0.0000  2 Zn 1.74

(2)
Compound: NbSb3Pd12
Source: Alexandria via LeMat-Bulk
Functional: PBE-GGA
Structure: relaxed

Results
symmetry = No. 123
electronic total energy = -90.7 eV for the cell shown

Lattice parameters (Å, degrees): 4.0281 4.0281 16.2597 90.00 90.00 90.00
Closest atoms and distances in Å follow each position.
Fractional positions:
Nb 0.0000 0.0000 0.0000  12 Pd 2.77-2.85
Sb 0.0000 0.0000 0.2512  12 Pd 2.83-2.97
Sb 0.0000 0.0000 0.5000  12 Pd 2.85-2.88
Sb 0.0000 0.0000 0.7488  12 Pd 2.83-2.97
Pd 0.0000 0.5000 0.1172  2 Nb 2.77, 8 Pd 2.77-2.89, 2 Sb 2.97
Pd 0.0000 0.5000 0.3736  4 Sb 2.83-2.88, 8 Pd 2.85-2.90
Pd 0.0000 0.5000 0.6264  4 Sb 2.83-2.88, 8 Pd 2.85-2.90
Pd 0.0000 0.5000 0.8828  2 Nb 2.77, 8 Pd 2.77-2.89, 2 Sb 2.97
Pd 0.5000 0.0000 0.1172  2 Nb 2.77, 8 Pd 2.77-2.89, 2 Sb 2.97
Pd 0.5000 0.0000 0.3736  4 Sb 2.83-2.88, 8 Pd 2.85-2.90
Pd 0.5000 0.0000 0.6264  4 Sb 2.83-2.88, 8 Pd 2.85-2.90
Pd 0.5000 0.0000 0.8828  2 Nb 2.77, 8 Pd 2.77-2.89, 2 Sb 2.97
Pd 0.5000 0.5000 0.0000  8 Pd 2.77, 4 Nb 2.85
Pd 0.5000 0.5000 0.2449  4 Sb 2.85, 8 Pd 2.89-2.90
Pd 0.5000 0.5000 0.5000  4 Sb 2.85, 8 Pd 2.88
Pd 0.5000 0.5000 0.7551  4 Sb 2.85, 8 Pd 2.89-2.90